# MnFeBP (PBE-GGA, optimized geometry)
data_MnFeBP
_chemical_formula_sum 'Mn1 Fe1 B1 P1'
_cell_length_a 3.5250
_cell_length_b 2.7704
_cell_length_c 4.1380
_cell_angle_alpha 90.00
_cell_angle_beta 106.29
_cell_angle_gamma 90.00
_symmetry_space_group_name_H-M 'P 1 m 1'
_symmetry_Int_Tables_number 6
_symmetry_space_group_name_Hall 'P -2y'
loop_
_atom_site_label
_atom_site_type_symbol
_atom_site_fract_x
_atom_site_fract_y
_atom_site_fract_z
Mn1 Mn 0.0000 0.0000 0.0000
Fe1 Fe 0.3844 0.5000 0.5670
B1 B 0.8541 0.0000 0.4795
P1 P 0.5638 0.5000 0.1162
# Total magnetization (μB/cell): 0.8
# Density (g cm⁻³): 6.53
# Formation enthalpy at 0 K (meV/atom): -172